First-principles (GGA-PBE) data for an optimized crystal structure of BSbRh2, as listed in the Alexandria database.

It has space group Fm-3m (No. 225), with a = 6.1166 Å, b = 6.1166 Å, c = 6.1166 Å, α = 90.00°, β = 90.00° and γ = 90.00°. The inequivalent atoms are B at (0.0000, 0.0000, 0.0000), Sb at (0.0000, 0.0000, 0.5000) and Rh at (0.2500, 0.2500, 0.2500).

The uncorrected formation energy is 0.361 eV per atom. The density of states at the Fermi level comes out at 19.549 states/eV/cell. The magnetization is 0.0 μB per formula unit.


First-principles (GGA-PBE) data for an optimized crystal structure of B7C3, as listed in the Alexandria database.

It has space group C2 (No. 5), with a = 8.3630 Å, b = 3.3410 Å, c = 5.5583 Å, α = 90.00°, β = 120.82° and γ = 90.00°. The inequivalent atoms are B at (0.0000, 0.0000, 0.0000), B at (0.0637, 0.5261, 0.7933), B at (0.1453, 0.2375, 0.3263), B at (0.2224, 0.7634, 0.1077), C at (0.0000, 0.7690, 0.5000) and C at (0.1777, 0.0105, 0.5988).

The energy of formation from the pure elements is 0.43 eV/atom. The density of states at the Fermi level comes out at 2.753 states/eV/cell. The magnetization is 0.0 μB per formula unit.